(1)
P2RuWO: relaxed, PBEsol. Values from VASP.

Cell and atoms, written as Quantum ESPRESSO input:
```
&SYSTEM
  ibrav = 0, nat = 5, ntyp = 4
/
ATOMIC_SPECIES
P 30.97 P.upf
Ru 101.07 Ru.upf
W 183.84 W.upf
O 16.00 O.upf
ATOMIC_POSITIONS crystal
P 0.000 0.500 0.000
P 0.500 0.000 0.000
Ru 0.000 0.000 0.500
W 0.500 0.500 0.000
O 0.500 0.500 0.500
CELL_PARAMETERS angstrom
4.723 0.000 0.000
0.000 4.723 0.000
0.000 0.000 3.666
```

Values from the calculation:
As for the total magnetic moment: 1.91 μB/f.u. As for the density of states at the Fermi level: 5.99 states/eV/cell. The formation energy without anion corrections comes out at 329 meV per atom.

---

(2)
Sb2RuPt: relaxed, PBEsol. Values from VASP.

Cell and atoms, written as Quantum ESPRESSO input:
```
&SYSTEM
  ibrav = 0, nat = 12, ntyp = 3
/
ATOMIC_SPECIES
Sb 121.76 Sb.upf
Ru 101.07 Ru.upf
Pt 195.08 Pt.upf
ATOMIC_POSITIONS crystal
Sb 0.000 0.000 0.248
Sb 0.000 0.000 0.752
Sb 0.333 0.667 0.418
Sb 0.333 0.667 0.915
Sb 0.667 0.333 0.085
Sb 0.667 0.333 0.582
Ru 0.000 0.000 0.500
Ru 0.333 0.667 0.167
Ru 0.667 0.333 0.833
Pt 0.000 0.000 0.000
Pt 0.333 0.667 0.667
Pt 0.667 0.333 0.333
CELL_PARAMETERS angstrom
3.290 0.000 0.000
-1.645 2.850 0.000
0.000 0.000 23.585
```

Values from the calculation:
As for the total magnetic moment: 0.00 μB/f.u. As for the density of states at the Fermi level: 7.47 states/eV/cell. The formation energy without anion corrections comes out at 7 meV per atom.